Crystalline TmCuMo2O8 at its relaxed geometry, computed with PBE+U. Values from VASP.

Calculated volume (A^3/atom): 11.81
SG: C2/c, No. 15
Electronic total energy (Ry/atom): -0.521
Total moment (μB per cell): 0.0

```
&SYSTEM
  ibrav = 0, nat = 24, ntyp = 4
/
ATOMIC_SPECIES
Tm 168.93 Tm.upf
O 16.00 O.upf
Cu 63.55 Cu.upf
Mo 95.94 Mo.upf
CELL_PARAMETERS angstrom
5.6758 4.8987 0.0920
-5.6758 4.8987 0.0920
0.0000 0.2750 5.1029
ATOMIC_POSITIONS angstrom
Tm 4.2331 5.1050 3.9192
Tm -4.2331 4.9675 1.3678
O 0.6313 3.5563 0.4816
O -2.2092 6.1469 2.1237
O -0.4392 8.5802 2.6478
O 0.6313 6.3787 2.2539
O 3.4982 6.3017 2.1937
O 0.4392 1.4923 2.6392
O -0.6313 6.5162 4.8054
O -0.6313 3.6938 3.0331
O 0.4392 8.7177 5.1992
O -0.4392 1.3548 0.0878
O -2.2092 3.7880 0.6118
O -3.4982 3.7708 3.0933
O 2.2092 6.2845 4.6751
O -3.4982 6.4393 4.7452
O 3.4982 3.6332 0.5418
O 2.2092 3.9256 3.1633
Cu 1.9429 4.9675 1.3678
Cu -1.9429 5.1050 3.9192
Mo -1.0462 2.6883 1.4539
Mo -1.0462 7.2466 1.2816
Mo 1.0462 2.8259 4.0054
Mo 1.0462 7.3841 3.8331
```

Crystalline UCu4Mo2O16 at its relaxed geometry, computed with PBE+U. Values from VASP.

Calculated volume (A^3/atom): 14.83
SG: C2/m, No. 12
Electronic total energy (Ry/atom): -0.472
Total moment (μB per cell): 1.4

```
&SYSTEM
  ibrav = 0, nat = 23, ntyp = 4
/
ATOMIC_SPECIES
O 16.00 O.upf
Cu 63.55 Cu.upf
U 238.03 U.upf
Mo 95.94 Mo.upf
CELL_PARAMETERS angstrom
-6.5943 5.9932 -6.9416
-5.4127 0.9126 -9.8721
-4.6117 -1.9983 1.6051
ATOMIC_POSITIONS angstrom
O -3.0991 1.1913 -3.3150
O -9.4436 2.6178 -5.3109
O -7.1751 2.2897 -9.8977
O -8.8564 0.0930 -6.7672
O -9.2783 4.1351 -10.9099
O -4.5207 0.0485 -5.0615
O -11.4877 2.2347 -11.6608
O -13.5196 3.7162 -11.8937
O -7.3404 0.7724 -4.2988
O -6.9452 2.2729 -6.7407
O -12.0980 4.8590 -10.1471
O -9.6735 2.6346 -8.4679
O -3.8558 -1.0471 0.2606
O -12.7629 5.9546 -15.4693
O -5.1310 2.6728 -3.5478
O -7.7623 4.8145 -8.4414
Cu -2.7063 0.4563 -4.9361
Cu -5.3238 0.7485 -3.4442
Cu -3.2971 2.9966 -3.4708
Cu -11.2949 4.1590 -11.7645
U 0.0000 0.0000 0.0000
Mo -8.1375 1.4492 -5.7935
Mo -8.4812 3.4583 -9.4151
```

Crystalline UCuMoO6 at its relaxed geometry, computed with PBE+U. Values from VASP.

Calculated volume (A^3/atom): 12.27
SG: P-31c, No. 163
Electronic total energy (Ry/atom): -0.572
Total moment (μB per cell): 2.0

```
&SYSTEM
  ibrav = 0, nat = 18, ntyp = 4
/
ATOMIC_SPECIES
O 16.00 O.upf
U 238.03 U.upf
Cu 63.55 Cu.upf
Mo 95.94 Mo.upf
CELL_PARAMETERS angstrom
5.2077 0.0000 0.0000
-2.6038 4.5100 0.0000
0.0000 0.0000 9.4041
ATOMIC_POSITIONS angstrom
O 0.8038 1.4577 8.2226
O 0.9396 4.4772 8.2226
O 3.4076 3.0523 3.5205
O 1.8001 3.0523 1.1815
O 1.7433 3.0851 5.8836
O 4.3472 1.4249 1.1815
O 1.6643 0.0328 1.1815
O -1.7433 3.0851 8.2226
O 3.5434 0.0328 3.5205
O -0.8038 1.4577 5.8836
O -0.9396 4.4772 5.8836
O 0.8605 1.4249 3.5205
U 0.0000 3.0067 7.0531
U 2.6039 1.5033 2.3510
Cu 0.0000 3.0067 2.3510
Cu 2.6039 1.5033 7.0531
Mo 0.0000 0.0000 0.0000
Mo 0.0000 0.0000 4.7021
```

Crystalline V2CuMoO8 at its relaxed geometry, computed with PBE+U. Values from VASP.

Calculated volume (A^3/atom): 13.41
SG: P-3m1, No. 164
Electronic total energy (Ry/atom): -0.509
Total moment (μB per cell): 1.0

```
&SYSTEM
  ibrav = 0, nat = 12, ntyp = 4
/
ATOMIC_SPECIES
O 16.00 O.upf
V 50.94 V.upf
Cu 63.55 Cu.upf
Mo 95.94 Mo.upf
CELL_PARAMETERS angstrom
-5.2529 -1.2667 -2.0372
0.9249 0.1639 5.6979
-1.3284 5.4122 0.0600
ATOMIC_POSITIONS angstrom
O -1.5144 3.8510 1.5103
O -4.6323 0.3715 -0.8099
O -1.6320 1.7145 3.1420
O -1.0241 3.9378 4.5305
O -4.1420 0.4584 2.2104
O -1.8479 1.0430 0.2700
O -3.8085 3.2664 3.4507
O -4.0244 2.5949 0.5787
V -3.6385 1.0227 0.5612
V -2.0179 3.2866 3.1594
Cu 0.0000 0.0000 0.0000
Mo -0.6642 2.7061 0.0300
```

Crystalline Cu4MoW3O16 at its relaxed geometry, computed with PBE+U. Values from VASP.

Calculated volume (A^3/atom): 11.77
SG: P1, No. 1
Electronic total energy (Ry/atom): -0.483
Total moment (μB per cell): 3.9

```
&SYSTEM
  ibrav = 0, nat = 24, ntyp = 4
/
ATOMIC_SPECIES
O 16.00 O.upf
W 183.84 W.upf
Mo 95.94 Mo.upf
Cu 63.55 Cu.upf
CELL_PARAMETERS angstrom
4.9774 0.0060 -0.0211
-0.0002 7.1244 -0.0062
-0.6690 -1.8228 7.9736
ATOMIC_POSITIONS angstrom
O -0.3453 5.1166 6.7854
O 1.7877 3.7774 4.3503
O 4.2922 2.8477 5.1503
O 0.0354 2.4688 2.7839
O 0.4331 4.7028 0.4501
O 0.1087 0.2361 4.4324
O 2.3389 -0.9339 5.6113
O 2.6913 3.5359 1.5988
O 4.2117 5.0776 3.4991
O 2.1807 4.1828 7.5897
O 3.8596 0.5914 7.5132
O 4.6165 0.1737 1.2066
O 2.0924 1.1108 0.3752
O 1.9516 6.2225 2.3765
O 2.5389 1.5379 3.5886
O 1.6277 1.7664 6.3366
W 0.8891 1.9481 4.6822
W 1.2125 6.4249 0.7190
W 3.4363 3.3656 3.2521
Mo 3.0928 -1.0992 7.2269
Cu 1.1907 2.8580 0.5777
Cu 3.4798 -0.1950 3.3296
Cu 0.8736 5.5234 4.5329
Cu 3.1026 2.4506 7.3863
```

Crystalline YCu3Mo4O12 at its relaxed geometry, computed with PBE+U. Values from VASP.

Calculated volume (A^3/atom): 11.45
SG: Im-3, No. 204
Electronic total energy (Ry/atom): -0.507
Total moment (μB per cell): 6.0

```
&SYSTEM
  ibrav = 0, nat = 20, ntyp = 4
/
ATOMIC_SPECIES
Cu 63.55 Cu.upf
O 16.00 O.upf
Y 88.91 Y.upf
Mo 95.94 Mo.upf
CELL_PARAMETERS angstrom
-3.8536 3.8536 3.8536
3.8536 -3.8536 3.8536
3.8536 3.8536 -3.8536
ATOMIC_POSITIONS angstrom
Cu 0.0000 3.8536 0.0000
Cu 0.0000 0.0000 3.8536
Cu 3.8536 0.0000 0.0000
O 1.2898 0.0000 2.2973
O 5.4098 1.2898 0.0000
O 1.2898 0.0000 5.4098
O 2.5638 3.8536 -1.5563
O 0.0000 2.2973 1.2898
O 3.8536 -1.5563 2.5638
O 2.5638 3.8536 1.5563
O 0.0000 5.4098 1.2898
O -1.5563 2.5638 3.8536
O 1.5563 2.5638 3.8536
O 2.2973 1.2898 0.0000
O 3.8536 1.5563 2.5638
Y 0.0000 0.0000 0.0000
Mo 1.9268 1.9268 1.9268
Mo 1.9268 1.9268 -1.9268
Mo -1.9268 1.9268 1.9268
Mo 1.9268 -1.9268 1.9268
```

> The lowest total moment belongs to which entry?

TmCuMo2O8